Ho2H2IBr3 | PBE | relaxed

For the total energy, the calculation gives -4.23 eV per atom.

The space group is P3m1 (No. 156) and the conventional cell measures 3.8581, 3.8581 and 15.1928 Å, with angles of 90.00, 90.00 and 120.00 degrees. The asymmetric unit holds Ho at (0.0000, 0.0000, 0.0000), Ho at (0.0000, 0.0000, 0.4941), H at (0.3333, 0.6667, 0.4949), H at (0.6667, 0.3333, 0.9971), I at (0.3333, 0.6667, 0.8593), Br at (0.3333, 0.6667, 0.1247), Br at (0.6667, 0.3333, 0.3700) and Br at (0.6667, 0.3333, 0.6197).